(1)
{"formula": "Pa2Si6OsRh", "functional": "PBE", "state": "relaxed", "lattice": [[2.9203, 1.6860, 12.3964], [-2.9203, 1.6860, 12.3964], [0.0000, -3.3721, 12.3964]], "species": ["Pa", "Pa", "Pa", "Pa", "Si", "Si", "Si", "Si", "Si", "Si", "Si", "Si", "Si", "Si", "Si", "Si", "Os", "Os", "Rh", "Rh"], "fractional_positions": [[0.1279, 0.1279, 0.1279], [0.2783, 0.2783, 0.2783], [0.7217, 0.7217, 0.7217], [0.8721, 0.8721, 0.8721], [0.0645, 0.6606, 0.6606], [0.1923, 0.1923, 0.7752], [0.1923, 0.7752, 0.1923], [0.2248, 0.8077, 0.8077], [0.3394, 0.3394, 0.9355], [0.3394, 0.9355, 0.3394], [0.6606, 0.0645, 0.6606], [0.6606, 0.6606, 0.0645], [0.7752, 0.1923, 0.1923], [0.8077, 0.2248, 0.8077], [0.8077, 0.8077, 0.2248], [0.9355, 0.3394, 0.3394], [0.4235, 0.4235, 0.4235], [0.5765, 0.5765, 0.5765], [0.0000, 0.0000, 0.0000], [0.5000, 0.5000, 0.5000]], "final_energy_ev_per_cell": -147.14, "e_form_raw_ev_per_atom": -0.35, "sg": "R-3m, No. 166", "magmom_total_mub_per_fu": 1.95, "rho_g_cm3": 8.38}

=====

(2)
{"formula": "La8Nd3Th2", "functional": "PBE", "state": "relaxed", "lattice": [[6.0483, -6.5137, 0.0000], [6.0483, 6.5137, 0.0000], [0.0000, 0.0000, 12.1482]], "species": ["La", "La", "La", "La", "La", "La", "La", "La", "La", "La", "La", "La", "La", "La", "La", "La", "Nd", "Nd", "Nd", "Nd", "Nd", "Nd", "Th", "Th", "Th", "Th"], "fractional_positions": [[0.0459, 0.9541, 0.8661], [0.1156, 0.3669, 0.9236], [0.1331, 0.3844, 0.5764], [0.1845, 0.8155, 0.3083], [0.3155, 0.6845, 0.8083], [0.3669, 0.1156, 0.0764], [0.3844, 0.1331, 0.4236], [0.4541, 0.5459, 0.3661], [0.5459, 0.4541, 0.6339], [0.6156, 0.8669, 0.5764], [0.6331, 0.8844, 0.9236], [0.6845, 0.3155, 0.1917], [0.8155, 0.1845, 0.6917], [0.8669, 0.6156, 0.4236], [0.8844, 0.6331, 0.0764], [0.9541, 0.0459, 0.1339], [0.0000, 0.0000, 0.5000], [0.1155, 0.3845, 0.2500], [0.3845, 0.1155, 0.7500], [0.5000, 0.5000, 0.0000], [0.6155, 0.8845, 0.2500], [0.8845, 0.6155, 0.7500], [0.2397, 0.7603, 0.5742], [0.2603, 0.7397, 0.0742], [0.7397, 0.2603, 0.9258], [0.7603, 0.2397, 0.4258]], "final_energy_ev_per_cell": -132.15, "sg": "Cmce, No. 64", "magmom_total_mub_per_fu": 0.00, "delta_e_f_ev_per_atom": 0.191, "rho_g_cm3": 6.97}

=====

(3)
{"formula": "La2HoHf", "functional": "PBE", "state": "relaxed", "lattice": [[5.0375, 0.0000, 0.0000], [0.0000, 5.0375, 0.0000], [0.0000, 0.0000, 4.8178]], "species": ["La", "La", "Ho", "Hf"], "fractional_positions": [[0.0000, 0.5000, 0.0000], [0.5000, 0.0000, 0.0000], [0.0000, 0.0000, 0.5000], [0.5000, 0.5000, 0.5000]], "final_energy_ev_per_cell": -23.68, "sg": "P4/mmm, No. 123", "magmom_total_mub_per_fu": 0.09, "delta_e_f_ev_per_atom": 0.176, "rho_g_cm3": 8.44}